This record from Alexandria via LeMat-Bulk describes a relaxed structure of KSr2F. The functional is PBE.

Cell: 11.6292 11.6292 11.6292 Å, 20.47 20.47 20.47°
With the nearest neighbours (Å) after each atom.
Sites, in units of the cell vectors:
K 0.0000 0.0000 0.0000  2 Sr 4.11, 6 K 4.13
Sr 0.1203 0.1203 0.1203  3 F 2.86
Sr 0.8797 0.8797 0.8797  3 F 2.86
F 0.5000 0.5000 0.5000  6 Sr 2.86

Computed properties:
As for the energy above the most stable polymorph in this dataset: 195 meV/atom. The density of states at the Fermi level is 3.31 states/eV/f.u. Its total magnetic moment is 0.207 μB/atom. The calculation puts the uncorrected formation energy at -1.107 eV/atom. The space-group type is R-3m.